No. 1
Below is a relaxed structure of Ce3HoGa4, with properties calculated at the PBE level.

Calculated values
Space group = No. 123
M_tot = 0.3 μB/cell
Calculated formation energy = -0.5090 eV/atom

```
8
Lattice="-3.249 0.635 0.267 -0.315 -2.516 2.145 3.057 10.351 12.591" Properties=species:S:1:pos:R:3 pbc="T T T"
Ga 1.917 6.493 7.898
Ga 0.365 1.234 1.501
Ga 2.692 9.116 11.089
Ga 1.139 3.858 4.692
Ce -1.033 1.594 4.290
Ce -0.254 4.235 7.501
Ce 0.526 6.875 10.713
Ho -1.782 -0.941 1.206
```

No. 2
Below is a relaxed structure of Ce2HoGa6, with properties calculated at the PBE level.

Calculated values
Space group = No. 191
M_tot = 1.1 μB/cell
Excess energy over the best structure of this formula in the dataset = 0.0000 eV/atom
Calculated formation energy = -0.5984 eV/atom

```
9
Lattice="4.145 0.000 0.000 0.000 6.385 -3.686 0.000 0.000 7.373" Properties=species:S:1:pos:R:3 pbc="T T T"
Ho 0.000 0.000 7.373
Ce 4.145 4.257 0.000
Ce 0.000 2.128 3.686
Ga 2.073 0.000 4.922
Ga 2.073 6.385 -1.236
Ga 2.073 2.122 1.225
Ga 2.073 4.263 4.912
Ga 2.073 4.263 2.461
Ga 2.073 2.122 -1.225
```

No. 3
Below is a relaxed structure of CeHo2Ga4, with properties calculated at the PBE level.

Calculated values
Space group = No. 71
M_tot = 0.7 μB/cell
Calculated formation energy = -0.6160 eV/atom

```
7
Lattice="4.028 0.000 -0.918 -0.223 4.183 -0.977 0.067 0.031 9.585" Properties=species:S:1:pos:R:3 pbc="T T T"
Ga 1.385 1.493 6.074
Ga 2.487 2.722 1.616
Ga 0.156 2.379 0.683
Ga 3.716 1.835 7.007
Ce 2.014 0.000 -0.459
Ho 3.144 3.430 4.499
Ho 0.728 0.784 3.191
```

No. 4
Below is a relaxed structure of Ce4HoGa5, with properties calculated at the PBE level.

Calculated values
Space group = No. 123
M_tot = 0.1 μB/cell
Calculated formation energy = -0.5074 eV/atom

```
10
Lattice="3.311 0.000 0.000 0.000 3.311 0.000 0.000 0.000 20.842" Properties=species:S:1:pos:R:3 pbc="T T T"
Ce 0.000 0.000 4.074
Ce 0.000 0.000 12.533
Ce 0.000 0.000 8.310
Ce 0.000 0.000 16.768
Ga 1.655 1.655 18.858
Ga 1.655 1.655 14.648
Ga 1.655 1.655 1.984
Ga 1.655 1.655 10.421
Ga 1.655 1.655 6.195
Ho 0.000 0.000 0.000
```

No. 5
Below is a relaxed structure of Ce2Ho5Ga4, with properties calculated at the PBE level.

Calculated values
Space group = No. 71
M_tot = 0.0 μB/cell
Calculated formation energy = -0.2393 eV/atom

```
11
Lattice="3.605 0.000 0.000 0.000 8.359 0.000 -1.802 -4.179 9.887" Properties=species:S:1:pos:R:3 pbc="T T T"
Ho 0.000 6.531 3.197
Ho 1.802 -2.352 6.689
Ho 0.000 1.828 3.197
Ho 1.802 0.000 0.000
Ho 1.802 2.352 6.689
Ce 1.802 4.179 1.386
Ce 0.000 0.000 8.501
Ga 1.802 4.179 4.334
Ga 0.000 0.000 5.553
Ga 0.000 6.128 0.000
Ga 0.000 2.230 0.000
```

No. 6
Below is a relaxed structure of Ce5HoGa6, with properties calculated at the PBE level.

Calculated values
Space group = No. 65
M_tot = 3.6 μB/cell
Calculated formation energy = -0.4722 eV/atom

```
12
Lattice="4.856 -0.028 1.618 0.038 7.266 0.013 -0.007 -0.014 8.116" Properties=species:S:1:pos:R:3 pbc="T T T"
Ga 2.437 1.785 0.812
Ga 0.812 5.479 5.755
Ga 2.457 5.452 0.819
Ga 4.075 1.743 3.993
Ga 4.095 5.465 3.999
Ga 0.793 1.758 5.748
Ce 0.019 3.633 0.006
Ce 3.231 -0.028 6.495
Ce 3.283 3.604 6.402
Ce 1.604 3.619 3.345
Ce 1.618 -0.014 3.239
Ho 0.000 0.000 0.000
```

No. 7
Below is a relaxed structure of Ce12HoGa6, with properties calculated at the PBE level.

Calculated values
Space group = No. 166
M_tot = 7.7 μB/cell
Calculated formation energy = -0.1235 eV/atom

```
19
Lattice="8.298 0.078 0.111 -1.981 8.058 0.111 -1.981 -2.551 7.644" Properties=species:S:1:pos:R:3 pbc="T T T"
Ga 4.012 0.513 5.653
Ga 4.833 1.571 2.212
Ga 4.012 5.168 2.348
Ga -0.497 4.014 5.653
Ga 0.323 0.417 5.518
Ga 0.323 5.072 2.212
Ce 6.244 -0.372 3.933
Ce -0.482 2.237 3.150
Ce 2.286 0.087 3.150
Ce 2.049 2.640 6.745
Ce 4.818 3.348 4.715
Ce -1.909 1.749 6.921
Ce -1.909 5.957 3.933
Ce 2.168 7.000 0.945
Ce 2.286 2.945 1.120
Ce 6.244 3.836 0.945
Ce 2.168 -1.415 6.921
Ce 2.049 5.498 4.715
Ho 0.000 0.000 0.000
```

No. 8
Below is a relaxed structure of CeHoGa4, with properties calculated at the PBE level.

Calculated values
Space group = No. 119
M_tot = 0.5 μB/cell
Excess energy over the best structure of this formula in the dataset = 0.0103 eV/atom
Calculated formation energy = -0.6032 eV/atom

```
6
Lattice="4.010 0.000 -1.238 -0.382 3.992 -1.238 0.249 0.274 7.921" Properties=species:S:1:pos:R:3 pbc="T T T"
Ga 1.724 1.897 5.583
Ga 2.692 0.756 1.606
Ga 2.153 2.370 -0.139
Ga 3.382 1.514 3.838
Ho 0.000 0.000 0.000
Ce 0.841 3.131 2.722
```

No. 9
Below is a relaxed structure of CeHoGaIr, with properties calculated at the PBE level.

Calculated values
Space group = No. 38
M_tot = 0.2 μB/cell
Excess energy over the best structure of this formula in the dataset = 0.0000 eV/atom
Calculated formation energy = -0.6885 eV/atom

```
4
Lattice="-3.310 0.593 2.430 -2.637 -0.165 -3.552 1.192 -5.223 -0.643" Properties=species:S:1:pos:R:3 pbc="T T T"
Ir -0.389 -4.145 0.482
Ga -3.038 -0.469 -0.482
Ho -3.309 -3.352 -0.147
Ce -0.137 -1.459 0.169
```

No. 10
Below is a relaxed structure of CeHoGaIr, with properties calculated at the PBE level.

Calculated values
Space group = No. 216
M_tot = 0.1 μB/cell
Excess energy over the best structure of this formula in the dataset = 0.0961 eV/atom
Calculated formation energy = -0.5924 eV/atom

```
4
Lattice="4.991 0.000 0.000 2.496 4.322 0.000 2.496 1.441 4.075" Properties=species:S:1:pos:R:3 pbc="T T T"
Ho 4.991 2.882 2.038
Ir 7.487 4.322 3.056
Ga 2.496 1.441 1.019
Ce 0.000 0.000 0.000
```

No. 11
Below is a relaxed structure of LaCeHoGa, with properties calculated at the PBE level.

Calculated values
Space group = No. 216
M_tot = 1.4 μB/cell
Calculated formation energy = -0.0647 eV/atom

```
4
Lattice="-1.739 -4.855 1.671 2.328 -2.390 4.273 -2.717 -0.446 4.670" Properties=species:S:1:pos:R:3 pbc="T T T"
Ho -1.597 -5.769 7.960
La 0.000 0.000 0.000
Ga -0.532 -1.923 2.653
Ce -1.064 -3.846 5.307
```

No. 12
Below is a relaxed structure of LiCeHoGa, with properties calculated at the PBE level.

Calculated values
Space group = No. 216
M_tot = 0.8 μB/cell
Calculated formation energy = -0.2157 eV/atom

```
4
Lattice="5.117 0.000 0.000 2.558 4.431 0.000 2.558 1.477 4.178" Properties=species:S:1:pos:R:3 pbc="T T T"
Ce 5.117 2.954 2.089
Ga 7.675 4.431 3.133
Ho 0.000 0.000 0.000
Li 2.558 1.477 1.044
```

> Which value of calculated formation energy does entry 6 give?

-0.4722 eV/atom

> M_tot of number 7 (Ce12HoGa6)?

7.7 μB/cell

What did the sixth record say?
Below is a relaxed structure of Ce5HoGa6, with properties calculated at the PBE level.

Calculated values
Space group = No. 65
M_tot = 3.6 μB/cell
Calculated formation energy = -0.4722 eV/atom

```
12
Lattice="4.856 -0.028 1.618 0.038 7.266 0.013 -0.007 -0.014 8.116" Properties=species:S:1:pos:R:3 pbc="T T T"
Ga 2.437 1.785 0.812
Ga 0.812 5.479 5.755
Ga 2.457 5.452 0.819
Ga 4.075 1.743 3.993
Ga 4.095 5.465 3.999
Ga 0.793 1.758 5.748
Ce 0.019 3.633 0.006
Ce 3.231 -0.028 6.495
Ce 3.283 3.604 6.402
Ce 1.604 3.619 3.345
Ce 1.618 -0.014 3.239
Ho 0.000 0.000 0.000
```